Here is an optimized crystal structure of Ba2AlRh from the Alexandria database. Energies are from PBE-GGA.

Values from the calculation:
Energy above the most stable polymorph in this dataset = 0.1621 eV/atom
DFT total energy = -0.291 Ry/atom
Formation energy from the elements = -0.227 eV/atom
Density of states at the Fermi level = 1.1301 states/eV/atom
M_tot = 0.00 μB per formula unit
SG = I-42d, No. 122

a = 11.775 Å, b = 11.775 Å, c = 4.823 Å
α = 90.00°, β = 90.00°, γ = 90.00°
Fractional coordinates of all 16 atoms:
1 Ba 0.068 0.250 0.125
2 Ba 0.250 0.568 0.375
3 Ba 0.250 0.932 0.875
4 Ba 0.432 0.250 0.625
5 Ba 0.568 0.750 0.625
6 Ba 0.750 0.068 0.875
7 Ba 0.750 0.432 0.375
8 Ba 0.932 0.750 0.125
9 Al 0.000 0.000 0.500
10 Al 0.000 0.500 0.750
11 Al 0.500 0.000 0.250
12 Al 0.500 0.500 0.000
13 Rh 0.000 0.000 0.000
14 Rh 0.000 0.500 0.250
15 Rh 0.500 0.000 0.750
16 Rh 0.500 0.500 0.500